(1)
# BaMnPCl2 (PBE, relaxed)
# Crystal system: tetragonal
# E_tot (eV/atom): -4.055
# Formation energy from raw total energies (eV/f.u.): -0.1
# E above lowest polymorph (eV per atom): 0.839
data_BaMnPCl2
_chemical_formula_sum 'Ba1 Mn1 P1 Cl2'
_cell_length_a 5.780
_cell_length_b 5.780
_cell_length_c 6.306
_cell_angle_alpha 90.00
_cell_angle_beta 90.00
_cell_angle_gamma 90.00
_symmetry_space_group_name_H-M 'P 4/m m m'
_symmetry_Int_Tables_number 123
_symmetry_space_group_name_Hall '-P 4 2'
loop_
_atom_site_label
_atom_site_fract_x
_atom_site_fract_y
_atom_site_fract_z
_atom_site_occupancy
Ba1 0.000 0.000 0.000 1
Mn1 0.500 0.500 0.500 1
P1 0.000 0.000 0.500 1
Cl1 0.000 0.500 0.000 1

=====

(2)
# Er4Tl3Ag (PBE, relaxed)
# Crystal system: orthorhombic
# E_tot (eV/atom): -3.803
# E above lowest polymorph (eV per atom): 0.046
# Calculated formation energy (eV/atom): -0.278
data_Er4Tl3Ag
_chemical_formula_sum 'Er4 Tl3 Ag1'
_cell_length_a 3.782
_cell_length_b 4.834
_cell_length_c 11.707
_cell_angle_alpha 90.00
_cell_angle_beta 90.00
_cell_angle_gamma 90.00
_symmetry_space_group_name_H-M 'P m m 2'
_symmetry_Int_Tables_number 25
loop_
_symmetry_equiv_pos_as_xyz
'x,y,z'
'-x,-y,z'
'-x,y,z'
'x,-y,z'
loop_
_atom_site_label
_atom_site_fract_x
_atom_site_fract_y
_atom_site_fract_z
_atom_site_occupancy
Er1 0.000 0.000 0.000 1
Er2 0.000 0.500 0.282 1
Er3 0.500 0.000 0.476 1
Er4 0.500 0.500 0.789 1
Tl1 0.000 0.000 0.727 1
Tl2 0.000 0.500 0.548 1
Tl3 0.500 0.500 0.055 1
Ag1 0.500 0.000 0.219 1

=====

(3)
# P3Cl (PBE, relaxed)
# Crystal system: tetragonal
# E_tot (eV/atom): -4.249
# Formation energy from raw total energies (eV/f.u.): 1.1
# E above lowest polymorph (eV per atom): 0.052
data_P3Cl
_chemical_formula_sum 'P3 Cl1'
_cell_length_a 3.491
_cell_length_b 3.491
_cell_length_c 6.681
_cell_angle_alpha 90.00
_cell_angle_beta 90.00
_cell_angle_gamma 90.00
_symmetry_space_group_name_H-M 'P 4 m m'
_symmetry_Int_Tables_number 99
loop_
_symmetry_equiv_pos_as_xyz
'x,y,z'
'-y,x,z'
'-x,-y,z'
'y,-x,z'
'-x,y,z'
'y,x,z'
'x,-y,z'
'-y,-x,z'
loop_
_atom_site_label
_atom_site_fract_x
_atom_site_fract_y
_atom_site_fract_z
_atom_site_occupancy
P1 0.000 0.000 0.000 1
P2 0.000 0.500 0.740 1
Cl1 0.500 0.500 0.211 1

=====

(4)
# Si3SnBi (PBE, relaxed)
# Crystal system: cubic
# E_tot (eV/atom): -3.708
# Formation energy from raw total energies (eV/f.u.): 5.6
# E above lowest polymorph (eV per atom): 0.000
data_Si3SnBi
_chemical_formula_sum 'Si3 Sn1 Bi1'
_cell_length_a 5.149
_cell_length_b 5.149
_cell_length_c 5.149
_cell_angle_alpha 90.00
_cell_angle_beta 90.00
_cell_angle_gamma 90.00
_symmetry_space_group_name_H-M 'P m -3 m'
_symmetry_Int_Tables_number 221
_symmetry_space_group_name_Hall '-P 4 2 3'
loop_
_atom_site_label
_atom_site_fract_x
_atom_site_fract_y
_atom_site_fract_z
_atom_site_occupancy
Si1 0.000 0.000 0.500 1
Sn1 0.000 0.000 0.000 1
Bi1 0.500 0.500 0.500 1

=====

(5)
# AlCu2IrF (PBE, relaxed)
# Crystal system: tetragonal
# E_tot (eV/atom): -4.098
# Formation energy from raw total energies (eV/f.u.): 2.2
data_AlCu2IrF
_chemical_formula_sum 'Al1 Cu2 Ir1 F1'
_cell_length_a 4.651
_cell_length_b 4.651
_cell_length_c 4.671
_cell_angle_alpha 90.00
_cell_angle_beta 90.00
_cell_angle_gamma 90.00
_symmetry_space_group_name_H-M 'P 4/m m m'
_symmetry_Int_Tables_number 123
_symmetry_space_group_name_Hall '-P 4 2'
loop_
_atom_site_label
_atom_site_fract_x
_atom_site_fract_y
_atom_site_fract_z
_atom_site_occupancy
Al1 0.000 0.000 0.000 1
Cu1 0.000 0.500 0.500 1
Ir1 0.000 0.000 0.500 1
F1 0.500 0.500 0.000 1

=====

(6)
# NaMgNb3 (PBE, relaxed)
# Crystal system: cubic
# E_tot (eV/atom): -4.690
# E above lowest polymorph (eV per atom): 0.097
# Calculated formation energy (eV/atom): 1.934
data_NaMgNb3
_chemical_formula_sum 'Na1 Mg1 Nb3'
_cell_length_a 4.755
_cell_length_b 4.755
_cell_length_c 4.755
_cell_angle_alpha 90.00
_cell_angle_beta 90.00
_cell_angle_gamma 90.00
_symmetry_space_group_name_H-M 'P m -3 m'
_symmetry_Int_Tables_number 221
_symmetry_space_group_name_Hall '-P 4 2 3'
loop_
_atom_site_label
_atom_site_fract_x
_atom_site_fract_y
_atom_site_fract_z
_atom_site_occupancy
Na1 0.000 0.000 0.000 1
Mg1 0.500 0.500 0.500 1
Nb1 0.000 0.000 0.500 1

=====

(7)
# Ce3PuIn4 (PBE, relaxed)
# Crystal system: orthorhombic
# E_tot (eV/atom): -5.714
# Calculated formation energy (eV/atom): -0.328
data_Ce3PuIn4
_chemical_formula_sum 'Ce3 Pu1 In4'
_cell_length_a 4.714
_cell_length_b 4.837
_cell_length_c 9.391
_cell_angle_alpha 90.00
_cell_angle_beta 90.00
_cell_angle_gamma 90.00
_symmetry_space_group_name_H-M 'P m m m'
_symmetry_Int_Tables_number 47
loop_
_symmetry_equiv_pos_as_xyz
'x,y,z'
'-x,-y,-z'
'-x,-y,z'
'x,y,-z'
'x,-y,-z'
'-x,y,z'
'-x,y,-z'
'x,-y,z'
loop_
_atom_site_label
_atom_site_fract_x
_atom_site_fract_y
_atom_site_fract_z
_atom_site_occupancy
Ce1 0.000 0.000 0.000 1
Ce2 0.500 0.000 0.260 1
Pu1 0.000 0.000 0.500 1
In1 0.000 0.500 0.251 1
In2 0.500 0.500 0.000 1
In3 0.500 0.500 0.500 1

=====

(8)
# Ac3TePtI (PBE, relaxed)
# Crystal system: monoclinic
# E_tot (eV/atom): -4.942
# Formation energy from raw total energies (eV/f.u.): -6.6
data_Ac3TePtI
_chemical_formula_sum 'Ac6 Te2 Pt2 I2'
_cell_length_a 8.850
_cell_length_b 4.257
_cell_length_c 12.201
_cell_angle_alpha 90.00
_cell_angle_beta 108.62
_cell_angle_gamma 90.00
_symmetry_space_group_name_H-M 'P 1 21/m 1'
_symmetry_Int_Tables_number 11
loop_
_symmetry_equiv_pos_as_xyz
'x,y,z'
'-x,-y,-z'
'-x,y+1/2,-z'
'x,-y+1/2,z'
loop_
_atom_site_label
_atom_site_fract_x
_atom_site_fract_y
_atom_site_fract_z
_atom_site_occupancy
Ac1 0.027 0.250 0.295 1
Ac2 0.220 0.250 0.042 1
Ac3 0.339 0.750 0.579 1
Te1 0.336 0.750 0.283 1
Pt1 0.088 0.250 0.568 1
I1 0.363 0.750 0.873 1

=====

(9)
# ZrMo (PBE, relaxed)
# Crystal system: orthorhombic
# E_tot (eV/atom): -9.731
# E above lowest polymorph (eV per atom): 0.000
# Calculated formation energy (eV/atom): -0.042
data_ZrMo
_chemical_formula_sum 'Zr4 Mo4'
_cell_length_a 3.317
_cell_length_b 4.776
_cell_length_c 9.588
_cell_angle_alpha 90.00
_cell_angle_beta 90.00
_cell_angle_gamma 90.00
_symmetry_space_group_name_H-M 'I m m a'
_symmetry_Int_Tables_number 74
_symmetry_space_group_name_Hall '-I 2b 2'
loop_
_atom_site_label
_atom_site_fract_x
_atom_site_fract_y
_atom_site_fract_z
_atom_site_occupancy
Zr1 0.000 0.250 0.116 1
Mo1 0.000 0.250 0.644 1

=====

(10)
# Ba4H2N (PBE, relaxed)
# Crystal system: tetragonal
# E_tot (eV/atom): -3.471
# E above lowest polymorph (eV per atom): 0.090
data_Ba4H2N
_chemical_formula_sum 'Ba8 H4 N2'
_cell_length_a 5.642
_cell_length_b 5.642
_cell_length_c 13.700
_cell_angle_alpha 90.00
_cell_angle_beta 90.00
_cell_angle_gamma 90.00
_symmetry_space_group_name_H-M 'I 4/m m m'
_symmetry_Int_Tables_number 139
_symmetry_space_group_name_Hall '-I 4 2'
loop_
_atom_site_label
_atom_site_fract_x
_atom_site_fract_y
_atom_site_fract_z
_atom_site_occupancy
Ba1 0.000 0.000 0.203 1
Ba2 0.000 0.500 0.000 1
H1 0.000 0.000 0.407 1
N1 0.000 0.000 0.000 1

=====

(11)
# BiPtN2 (PBE, relaxed)
# Crystal system: tetragonal
# E_tot (eV/atom): -5.657
# Formation energy from raw total energies (eV/f.u.): 3.9
data_BiPtN2
_chemical_formula_sum 'Bi4 Pt4 N8'
_cell_length_a 5.070
_cell_length_b 5.070
_cell_length_c 10.503
_cell_angle_alpha 90.00
_cell_angle_beta 90.00
_cell_angle_gamma 90.00
_symmetry_space_group_name_H-M 'I -4 2 d'
_symmetry_Int_Tables_number 122
_symmetry_space_group_name_Hall 'I -4 2bw'
loop_
_atom_site_label
_atom_site_fract_x
_atom_site_fract_y
_atom_site_fract_z
_atom_site_occupancy
Bi1 0.000 0.000 0.000 1
Pt1 0.000 0.000 0.500 1
N1 0.194 0.250 0.625 1

=====

(12)
# Zn3In (PBE, relaxed)
# Crystal system: monoclinic
# E_tot (eV/atom): -1.537
# Calculated formation energy (eV/atom): 0.103
data_Zn3In
_chemical_formula_sum 'Zn3 In1'
_cell_length_a 3.456
_cell_length_b 4.449
_cell_length_c 5.072
_cell_angle_alpha 90.00
_cell_angle_beta 90.07
_cell_angle_gamma 90.00
_symmetry_space_group_name_H-M 'P 1 2/m 1'
_symmetry_Int_Tables_number 10
loop_
_symmetry_equiv_pos_as_xyz
'x,y,z'
'-x,-y,-z'
'-x,y,-z'
'x,-y,z'
loop_
_atom_site_label
_atom_site_fract_x
_atom_site_fract_y
_atom_site_fract_z
_atom_site_occupancy
Zn1 0.000 0.000 0.000 1
Zn2 0.003 0.500 0.252 1
In1 0.500 0.000 0.500 1

=====

(13)
# ReNiPb2 (PBE, relaxed)
# Crystal system: monoclinic
# E_tot (eV/atom): -5.481
# E above lowest polymorph (eV per atom): 0.485
# Calculated formation energy (eV/atom): 0.930
data_ReNiPb2
_chemical_formula_sum 'Re2 Ni2 Pb4'
_cell_length_a 8.818
_cell_length_b 3.237
_cell_length_c 5.668
_cell_angle_alpha 90.00
_cell_angle_beta 103.82
_cell_angle_gamma 90.00
_symmetry_space_group_name_H-M 'C 1 2/m 1'
_symmetry_Int_Tables_number 12
loop_
_symmetry_equiv_pos_as_xyz
'x,y,z'
'-x,-y,-z'
'-x,y,-z'
'x,-y,z'
'x+1/2,y+1/2,z'
'-x+1/2,-y+1/2,-z'
'-x+1/2,y+1/2,-z'
'x+1/2,-y+1/2,z'
loop_
_atom_site_label
_atom_site_fract_x
_atom_site_fract_y
_atom_site_fract_z
_atom_site_occupancy
Re1 0.000 0.000 0.000 1
Ni1 0.000 0.500 0.500 1
Pb1 0.244 0.000 0.746 1